# Rb2TiCl4

A relaxed Rb2TiCl4 crystal (PBE, Alexandria via LeMat-Bulk).

Computed properties:
E_form (uncorrected): -1.7100 eV per atom
M_tot: 0.286 μB/atom
offset from the most stable computed form: 0.000 eV/atom

Lattice parameters (Å, degrees): 5.024 5.024 16.544 90.00 90.00 90.00
Sites, in units of the cell vectors:
Rb (0.000, 0.000, 0.143)
Rb (0.000, 0.000, 0.857)
Rb (0.500, 0.500, 0.357)
Rb (0.500, 0.500, 0.643)
Ti (0.000, 0.000, 0.500)
Ti (0.500, 0.500, 0.000)
Cl (0.000, 0.000, 0.344)
Cl (0.000, 0.000, 0.656)
Cl (0.000, 0.500, 0.000)
Cl (0.000, 0.500, 0.500)
Cl (0.500, 0.000, 0.000)
Cl (0.500, 0.000, 0.500)
Cl (0.500, 0.500, 0.156)
Cl (0.500, 0.500, 0.844)